{"formula": "LiP2PtPb", "functional": "PBEsol", "state": "relaxed", "lattice_angstrom": [[5.1952, 0.0000, 0.0000], [0.0000, 5.1952, 0.0000], [0.0000, 0.0000, 5.0495]], "species": ["Li", "P", "P", "Pt", "Pb"], "fractional_positions": [[0.0000, 0.0000, 0.0000], [0.0000, 0.5000, 0.5000], [0.5000, 0.0000, 0.5000], [0.5000, 0.5000, 0.0000], [0.5000, 0.5000, 0.5000]], "spacegroup": "P4/mmm", "dos_at_fermi_per_ev_atom": 1.003, "e_form_ev_per_fu": 5.5}